Entry 1:
The following is a DFT calculation (PBE-GGA) of a geometry-optimized Al3AsPb structure.

Summary:
For the size of the total moment, the calculation gives 0.00 μB/cell. Its formation energy is 0.44 eV per atom. For the excess energy over the best structure of this formula in the dataset, the calculation gives 0.000 eV per atom. The calculation puts the total energy at -3.48 eV per atom. The volume comes out at 122.18 Å³ per cell. The density of states at the Fermi level comes out at 1.79 states/eV per cell.

Lattice parameters (Å, degrees): 4.962 4.962 4.962 90.00 90.00 90.00
Space group Pm-3m (No. 221)
One atom of each set of equivalent atoms:
Al 0.000 0.000 0.500
As 0.000 0.000 0.000
Pb 0.500 0.500 0.500

Entry 2:
The following is a DFT calculation (PBE-GGA) of a geometry-optimized HfSnCl2 structure.

Summary:
For the size of the total moment, the calculation gives 0.00 μB/cell. For the excess energy over the best structure of this formula in the dataset, the calculation gives 0.885 eV per atom. The calculation puts the total energy at -4.44 eV per atom. The volume comes out at 330.34 Å³ per cell. The density of states at the Fermi level comes out at 11.98 states/eV per cell.

Lattice parameters (Å, degrees): 6.913 6.913 6.913 90.00 90.00 90.00
Space group Fm-3m (No. 225)
One atom of each set of equivalent atoms:
Hf 0.000 0.000 0.000
Sn 0.000 0.000 0.500
Cl 0.250 0.250 0.250

Entry 3:
The following is a DFT calculation (PBE-GGA) of a geometry-optimized KSi2Sn2 structure.

Summary:
For the size of the total moment, the calculation gives 0.00 μB/cell. For the excess energy over the best structure of this formula in the dataset, the calculation gives 0.075 eV per atom. The calculation puts the total energy at -3.82 eV per atom. The volume comes out at 271.67 Å³ per cell. The density of states at the Fermi level comes out at 4.16 states/eV per cell.

Lattice parameters (Å, degrees): 8.438 8.438 3.816 90.00 90.00 90.00
Space group P4/mbm (No. 127)
One atom of each set of equivalent atoms:
K 0.000 0.000 0.000
Si 0.109 0.391 0.000
Sn 0.141 0.641 0.500

Entry 4:
The following is a DFT calculation (PBE-GGA) of a geometry-optimized SmPuCu structure.

Summary:
For the size of the total moment, the calculation gives 6.03 μB/cell. Its formation energy is 0.21 eV per atom. For the excess energy over the best structure of this formula in the dataset, the calculation gives 0.132 eV per atom. The calculation puts the total energy at -7.51 eV per atom. The volume comes out at 71.51 Å³ per cell. The density of states at the Fermi level comes out at 8.20 states/eV per cell.

Lattice parameters (Å, degrees): 4.9074 4.9074 3.4286 90.00 90.00 120.00
Space group P3m1 (No. 156)
One atom of each set of equivalent atoms:
Sm 0.0000 0.0000 0.0000
Pu 0.6667 0.3333 0.5841
Cu 0.3333 0.6667 0.3291

> The highest excess energy over the best structure of this formula in the dataset belongs to which entry?

HfSnCl2